(1)
# LiTi2S2

An optimized crystal structure of LiTi2S2 (PBE, the Alexandria database).

Cell and atoms, written as POSCAR:
```
LiTi2S2
1.0
6.677 0.000 0.000
0.000 6.677 0.000
0.000 0.000 3.211
Li Ti S
2 4 4
Direct
0.000 0.000 0.000
0.500 0.500 0.000
0.355 0.145 0.500
0.855 0.355 0.500
0.645 0.855 0.500
0.145 0.645 0.500
0.349 0.849 0.000
0.849 0.651 0.000
0.151 0.349 0.000
0.651 0.151 0.000
```

## Properties
DFT total energy: -6.229 eV per atom
Total magnetic moment: 0.000 μB/atom
ρ: 3.87 g/cm3
Uncorrected formation energy: -5.189 eV per formula unit

(2)
# Sr2CaRe

An optimized crystal structure of Sr2CaRe (PBE, the Alexandria database).

Cell and atoms, written as POSCAR:
```
Sr2CaRe
1.0
3.610 0.000 0.000
0.000 3.610 0.008
0.000 3.590 10.662
Ca Re Sr
1 1 2
Direct
0.500 0.250 0.250
0.500 0.750 0.750
0.000 0.433 0.567
0.000 0.067 0.933
```

## Properties
DFT total energy: -3.652 eV per atom
Total magnetic moment: 0.431 μB/atom
ρ: 4.80 g/cm3
Formation enthalpy at 0 K: 3.206 eV per formula unit

(3)
# Sc2AlSI

An optimized crystal structure of Sc2AlSI (PBE, the Alexandria database).

Cell and atoms, written as POSCAR:
```
Sc2AlSI
1.0
5.317 0.000 0.000
0.000 5.305 0.000
0.000 0.000 5.317
S Al Sc I
1 1 2 1
Direct
0.000 0.500 0.000
0.500 0.500 0.500
0.500 0.000 0.000
0.000 0.000 0.500
0.000 0.000 0.000
```

## Properties
DFT total energy: -3.785 eV per atom
Total magnetic moment: 0.000 μB/atom
ρ: 3.05 g/cm3
Uncorrected formation energy: 3.157 eV per formula unit

(4)
# NpAl4Zn

An optimized crystal structure of NpAl4Zn (PBE, the Alexandria database).

Cell and atoms, written as POSCAR:
```
NpAl4Zn
1.0
5.435 0.000 0.000
2.717 4.707 0.000
2.717 1.569 4.438
Zn Al Np
1 4 1
Direct
0.000 0.000 0.000
0.624 0.624 0.127
0.127 0.624 0.624
0.624 0.127 0.624
0.624 0.624 0.624
0.250 0.250 0.250
```

## Properties
DFT total energy: -4.762 eV per atom
Total magnetic moment: 0.822 μB/atom
ρ: 6.00 g/cm3
Formation enthalpy at 0 K: 0.612 eV per formula unit

(5)
# SnHgSe2N

An optimized crystal structure of SnHgSe2N (PBE, the Alexandria database).

Cell and atoms, written as POSCAR:
```
SnHgSe2N
1.0
5.437 0.000 0.000
0.000 5.437 0.000
0.000 0.000 4.066
Se Hg N Sn
2 1 1 1
Direct
0.500 0.000 0.000
0.000 0.500 0.000
0.500 0.500 0.500
0.000 0.000 0.500
0.000 0.000 0.000
```

## Properties
DFT total energy: -3.194 eV per atom
Total magnetic moment: 0.270 μB/atom
ρ: 6.79 g/cm3
Uncorrected formation energy: 3.631 eV per formula unit

(6)
# HoSbPd2

An optimized crystal structure of HoSbPd2 (PBE, the Alexandria database).

Cell and atoms, written as POSCAR:
```
HoSbPd2
1.0
-3.800 -1.396 1.650
1.639 -2.585 1.587
0.776 3.313 4.591
Pd Sb Ho
2 1 1
Direct
0.000 0.000 0.235
0.000 0.000 0.765
0.500 0.000 0.500
0.500 0.500 0.000
```

## Properties
DFT total energy: -5.472 eV per atom
Total magnetic moment: 0.000 μB/atom
ρ: 9.63 g/cm3
Uncorrected formation energy: -2.803 eV per formula unit

(7)
# MnTcRu2

An optimized crystal structure of MnTcRu2 (PBE, the Alexandria database).

Cell and atoms, written as POSCAR:
```
MnTcRu2
1.0
8.812 -0.002 -0.001
8.405 2.650 -0.001
8.405 1.293 2.313
Mn Tc Ru
1 1 2
Direct
0.749 0.749 0.749
0.498 0.498 0.498
0.250 0.250 0.250
0.004 0.004 0.004
```

## Properties
DFT total energy: -9.392 eV per atom
Total magnetic moment: 0.203 μB/atom
ρ: 10.90 g/cm3
Formation enthalpy at 0 K: 0.518 eV per formula unit

(8)
# CaP2CSe

An optimized crystal structure of CaP2CSe (PBE, the Alexandria database).

Cell and atoms, written as POSCAR:
```
CaP2CSe
1.0
3.873 0.000 0.000
0.000 7.885 0.000
0.000 0.000 3.873
C Ca P Se
1 1 2 1
Direct
0.000 0.000 0.000
0.500 0.500 0.500
0.000 0.000 0.500
0.500 0.000 0.000
0.000 0.500 0.000
```

## Properties
DFT total energy: -4.676 eV per atom
Total magnetic moment: 0.000 μB/atom
ρ: 2.71 g/cm3
Uncorrected formation energy: 2.148 eV per formula unit

(9)
# Dy2Al4AgAu3

An optimized crystal structure of Dy2Al4AgAu3 (PBE, the Alexandria database).

Cell and atoms, written as POSCAR:
```
Dy2Al4AgAu3
1.0
4.314 0.000 0.000
0.000 4.314 0.000
0.000 0.000 10.648
Al Ag Dy Au
4 1 2 3
Direct
0.500 0.000 0.635
0.000 0.000 0.000
0.000 0.500 0.365
0.500 0.500 0.000
0.500 0.500 0.500
0.500 0.000 0.250
0.000 0.500 0.750
0.000 0.000 0.500
0.000 0.500 0.134
0.500 0.000 0.866
```

## Properties
DFT total energy: -4.317 eV per atom
Total magnetic moment: 0.000 μB/atom
ρ: 9.48 g/cm3
Formation enthalpy at 0 K: -6.316 eV per formula unit

(10)
# LaSc2GaN

An optimized crystal structure of LaSc2GaN (PBE, the Alexandria database).

Cell and atoms, written as POSCAR:
```
LaSc2GaN
1.0
-2.979 1.611 2.978
1.221 -3.188 2.947
3.493 3.046 1.847
La N Ga Sc
1 1 1 2
Direct
0.000 0.000 0.500
0.000 0.000 0.000
0.500 0.500 0.500
0.000 0.500 0.000
0.500 0.000 0.000
```

## Properties
DFT total energy: -6.703 eV per atom
Total magnetic moment: 0.000 μB/atom
ρ: 5.11 g/cm3
Uncorrected formation energy: -4.570 eV per formula unit

(11)
# Ac4IrNCl2

An optimized crystal structure of Ac4IrNCl2 (PBE, the Alexandria database).

Cell and atoms, written as POSCAR:
```
Ac4IrNCl2
1.0
-0.734 -3.871 -1.034
1.364 -2.083 6.832
-8.125 1.743 -0.755
Ir Cl Ac N
1 2 4 1
Direct
0.500 0.500 0.000
0.000 0.500 0.500
0.500 0.000 0.500
0.500 0.215 0.195
0.000 0.244 0.802
0.500 0.785 0.805
0.000 0.756 0.198
0.000 0.000 0.000
```

## Properties
DFT total energy: -5.897 eV per atom
Total magnetic moment: 0.000 μB/atom
ρ: 8.43 g/cm3
Uncorrected formation energy: -9.860 eV per formula unit

(12)
# La2PrSmY5

An optimized crystal structure of La2PrSmY5 (PBE, the Alexandria database).

Cell and atoms, written as POSCAR:
```
La2PrSmY5
1.0
8.771 0.000 0.000
0.000 8.771 0.000
-4.385 -4.385 7.937
La Y Sm Pr
4 10 2 2
Direct
0.883 0.617 0.000
0.617 0.117 0.000
0.383 0.883 0.000
0.117 0.383 0.000
0.852 0.926 0.278
0.926 0.426 0.278
0.148 0.074 0.722
0.352 0.852 0.278
0.500 0.500 0.000
0.426 0.352 0.278
0.000 0.000 0.000
0.648 0.148 0.722
0.074 0.574 0.722
0.574 0.648 0.722
0.250 0.750 0.500
0.750 0.250 0.500
0.750 0.750 0.500
0.250 0.250 0.500
```

## Properties
DFT total energy: -5.510 eV per atom
Total magnetic moment: 0.000 μB/atom
ρ: 5.51 g/cm3
Formation enthalpy at 0 K: 2.081 eV per formula unit

(13)
# Er2CoSi4Pt3

An optimized crystal structure of Er2CoSi4Pt3 (PBE, the Alexandria database).

Cell and atoms, written as POSCAR:
```
Er2CoSi4Pt3
1.0
-2.280 -3.060 1.436
3.361 -2.238 0.567
0.889 3.682 9.260
Pt Si Co Er
3 4 1 2
Direct
0.000 0.500 0.132
0.000 0.000 0.500
0.500 0.000 0.868
0.000 0.000 0.000
0.500 0.500 0.000
0.000 0.500 0.372
0.500 0.000 0.628
0.500 0.500 0.500
0.500 0.000 0.256
0.000 0.500 0.744
```

## Properties
DFT total energy: -6.613 eV per atom
Total magnetic moment: 0.080 μB/atom
ρ: 10.89 g/cm3
Uncorrected formation energy: -10.088 eV per formula unit

(14)
# Tm3GaSe6

An optimized crystal structure of Tm3GaSe6 (PBE, the Alexandria database).

Cell and atoms, written as POSCAR:
```
Tm3GaSe6
1.0
6.705 0.000 0.000
0.000 8.858 0.032
0.000 -1.945 8.642
Tm Se Ga
6 12 2
Direct
0.985 0.086 0.282
0.885 0.595 0.405
0.985 0.718 0.914
0.385 0.405 0.595
0.485 0.914 0.718
0.485 0.282 0.086
0.683 0.629 0.698
0.707 0.899 0.438
0.683 0.302 0.371
0.207 0.438 0.899
0.671 0.961 0.039
0.207 0.101 0.562
0.183 0.698 0.629
0.159 0.782 0.218
0.659 0.218 0.782
0.183 0.371 0.302
0.171 0.039 0.961
0.707 0.562 0.101
0.020 0.203 0.797
0.520 0.797 0.203
```

## Properties
DFT total energy: -5.247 eV per atom
Total magnetic moment: 0.000 μB/atom
ρ: 6.79 g/cm3
Uncorrected formation energy: -15.126 eV per formula unit

(15)
# CaAcDy2S4

An optimized crystal structure of CaAcDy2S4 (PBE, the Alexandria database).

Cell and atoms, written as POSCAR:
```
CaAcDy2S4
1.0
4.009 0.000 0.000
0.000 7.036 -0.176
0.000 2.442 6.568
S Ac Ca Dy
4 1 1 2
Direct
0.000 0.771 0.732
0.500 0.764 0.255
0.000 0.229 0.268
0.500 0.236 0.745
0.500 0.500 0.000
0.000 0.500 0.500
0.000 0.000 0.000
0.500 0.000 0.500
```

## Properties
DFT total energy: -5.975 eV per atom
Total magnetic moment: 0.000 μB/atom
ρ: 6.40 g/cm3
Uncorrected formation energy: -15.976 eV per formula unit

(16)
# BaSbSe2F

An optimized crystal structure of BaSbSe2F (PBE, the Alexandria database).

Cell and atoms, written as POSCAR:
```
BaSbSe2F
1.0
6.087 0.000 0.000
0.000 4.692 0.000
0.000 0.000 6.087
Se F Ba Sb
2 1 1 1
Direct
0.500 0.000 0.000
0.000 0.000 0.500
0.000 0.500 0.000
0.000 0.000 0.000
0.500 0.500 0.500
```

## Properties
DFT total energy: -3.623 eV per atom
Total magnetic moment: 0.000 μB/atom
ρ: 4.17 g/cm3
Uncorrected formation energy: -3.228 eV per formula unit

(17)
# Mo2RuRh

An optimized crystal structure of Mo2RuRh (PBE, the Alexandria database).

Cell and atoms, written as POSCAR:
```
Mo2RuRh
1.0
4.806 0.004 0.002
4.019 2.636 0.002
0.789 0.236 4.718
Mo Rh Ru
2 1 1
Direct
0.499 0.499 0.498
0.001 0.001 0.002
0.750 0.750 0.750
0.250 0.250 0.250
```

## Properties
DFT total energy: -9.545 eV per atom
Total magnetic moment: 0.000 μB/atom
ρ: 11.01 g/cm3
Formation enthalpy at 0 K: 0.108 eV per formula unit

(18)
# LiHgRh4

An optimized crystal structure of LiHgRh4 (PBE, the Alexandria database).

Cell and atoms, written as POSCAR:
```
LiHgRh4
1.0
-1.350 -4.494 2.206
-4.219 -0.249 3.004
-4.211 -2.536 -1.649
Li Rh Hg
1 4 1
Direct
0.000 0.000 0.000
0.375 0.876 0.375
0.876 0.375 0.375
0.375 0.375 0.876
0.375 0.375 0.375
0.750 0.750 0.750
```

## Properties
DFT total energy: -5.104 eV per atom
Total magnetic moment: 0.279 μB/atom
ρ: 10.43 g/cm3
Formation enthalpy at 0 K: 0.999 eV per formula unit

(19)
# LaRuIO2

An optimized crystal structure of LaRuIO2 (PBE, the Alexandria database).

Cell and atoms, written as POSCAR:
```
LaRuIO2
1.0
4.302 0.000 0.000
0.000 4.302 0.000
0.000 0.000 5.055
O Ru I La
2 1 1 1
Direct
0.500 0.000 0.000
0.000 0.500 0.000
0.000 0.000 0.000
0.000 0.000 0.500
0.500 0.500 0.500
```

## Properties
DFT total energy: -5.816 eV per atom
Total magnetic moment: 0.260 μB/atom
ρ: 7.08 g/cm3
Uncorrected formation energy: -3.410 eV per formula unit

(20)
# SrPb2Cl2O2

An optimized crystal structure of SrPb2Cl2O2 (PBE, the Alexandria database).

Cell and atoms, written as POSCAR:
```
SrPb2Cl2O2
1.0
-2.770 -1.091 -2.615
0.575 -7.330 -0.557
-2.948 -5.360 5.355
O Cl Sr Pb
2 2 1 2
Direct
0.799 0.402 0.671
0.201 0.598 0.329
0.449 0.103 0.196
0.551 0.897 0.804
0.000 0.000 0.000
0.816 0.369 0.407
0.184 0.631 0.593
```

## Properties
DFT total energy: -4.950 eV per atom
Total magnetic moment: 0.000 μB/atom
ρ: 5.49 g/cm3
Uncorrected formation energy: -11.940 eV per formula unit